Record 1
Density functional theory data (GGA-PBE) for a relaxed structure of Y2BeSb.

Structure (POSCAR):
```
Y2BeSb
1.0
3.796 -0.006 0.000
0.005 3.796 0.000
0.000 0.000 6.585
Be Y Sb
1 2 1
Direct
0.500 0.500 0.250
0.000 0.000 0.491
0.000 0.000 0.009
0.500 0.500 0.750
```

## Properties
**Space-group type**: P4/mmm (123)
**ΔE to the lowest computed polymorph**: 0.219 eV per atom
**Total DFT energy (no corrections)**: -22.12 eV/cell
**Crystal system**: tetragonal

=====

Record 2
Density functional theory data (GGA-PBE) for a relaxed structure of YBeSb3.

Structure (POSCAR):
```
YBeSb3
1.0
5.757 0.000 0.000
0.000 5.757 0.000
0.000 0.000 5.757
Y Sb Be
1 3 1
Direct
0.000 0.000 0.000
0.000 0.500 0.000
0.000 0.000 0.500
0.500 0.000 0.000
0.500 0.500 0.500
```

## Properties
**Space-group type**: Pm-3m (221)
**ΔE to the lowest computed polymorph**: 0.824 eV per atom
**Total DFT energy (no corrections)**: -18.06 eV/cell
**Crystal system**: cubic